A plane-wave DFT calculation with GGA+U was carried out for a relaxed structure of SrVAg2F8.

VASP energy = -4.9079 eV per atom
crystal system = monoclinic

Cell and atoms, written as CIF:
```
data_SrVAg2F8
_chemical_formula_sum 'Sr1 V1 Ag2 F8'
_space_group_name_H-M_alt 'P 1 2/m 1'
_space_group_IT_number 10
_space_group_name_Hall '-P 2y'
_cell_length_a 4.5578
_cell_length_b 7.3330
_cell_length_c 5.7400
_cell_angle_alpha 90.00
_cell_angle_beta 92.18
_cell_angle_gamma 90.00
loop_
_atom_site_label
_atom_site_type_symbol
_atom_site_fract_x
_atom_site_fract_y
_atom_site_fract_z
Sr1 Sr 0.0000 0.0000 0.0000
V1 V 0.0000 0.5000 0.0000
Ag1 Ag 0.5000 0.2541 0.5000
F1 F 0.1396 0.3048 0.8103
F2 F 0.3273 0.5000 0.1978
F3 F 0.4446 0.0000 0.2428
```